No. 1
# KZn2Si

A geometry-optimized KZn2Si structure (PBE, Alexandria via LeMat-Bulk).

```
data_KZn2Si
_chemical_formula_sum 'K1 Zn2 Si1'
_space_group_name_H-M_alt 'P 1'
_space_group_IT_number 1
_space_group_name_Hall 'P 1'
_cell_length_a 6.073
_cell_length_b 6.073
_cell_length_c 6.073
_cell_angle_alpha 150.59
_cell_angle_beta 124.38
_cell_angle_gamma 64.16
loop_
_atom_site_label
_atom_site_type_symbol
_atom_site_fract_x
_atom_site_fract_y
_atom_site_fract_z
_atom_site_occupancy
K1 K 0.000 0.000 0.000 1
Zn1 Zn 0.482 0.482 0.000 1
Zn2 Zn 0.696 0.196 0.500 1
Si1 Si 0.287 0.787 0.500 1
```

Results
The magnetic moment comes out at 0.000 μB per atom. The total energy is -7.54 eV per cell. As for the theoretical density: 3.7 g/cm3. The calculation puts the density of states at the Fermi level at 1.476 states/eV/f.u. The formation energy without anion corrections comes out at 0.38 eV/atom.

No. 2
# InFeOs2

A geometry-optimized InFeOs2 structure (PBE, Alexandria via LeMat-Bulk).

```
data_InFeOs2
_chemical_formula_sum 'In1 Fe1 Os2'
_space_group_name_H-M_alt 'P 1'
_space_group_IT_number 1
_space_group_name_Hall 'P 1'
_cell_length_a 2.997
_cell_length_b 2.997
_cell_length_c 6.761
_cell_angle_alpha 90.00
_cell_angle_beta 90.00
_cell_angle_gamma 90.00
loop_
_atom_site_label
_atom_site_type_symbol
_atom_site_fract_x
_atom_site_fract_y
_atom_site_fract_z
_atom_site_occupancy
In1 In 0.000 0.000 0.000 1
Fe1 Fe 0.000 0.000 0.500 1
Os1 Os 0.500 0.500 0.291 1
Os2 Os 0.500 0.500 0.709 1
```

Results
The magnetic moment comes out at 0.650 μB per atom. The total energy is -32.06 eV per cell. The formation energy comes out at 1.6 eV/f.u. As for the theoretical density: 15.1 g/cm3. The calculation puts the density of states at the Fermi level at 3.860 states/eV/f.u.

No. 3
# Hf2UMoC4

A geometry-optimized Hf2UMoC4 structure (PBE, Alexandria via LeMat-Bulk).

```
data_Hf2UMoC4
_chemical_formula_sum 'Hf4 U2 Mo2 C8'
_space_group_name_H-M_alt 'P 1'
_space_group_IT_number 1
_space_group_name_Hall 'P 1'
_cell_length_a 6.008
_cell_length_b 6.008
_cell_length_c 11.513
_cell_angle_alpha 90.00
_cell_angle_beta 90.00
_cell_angle_gamma 148.30
loop_
_atom_site_label
_atom_site_type_symbol
_atom_site_fract_x
_atom_site_fract_y
_atom_site_fract_z
_atom_site_occupancy
Hf1 Hf 0.130 0.870 0.536 1
Hf2 Hf 0.130 0.870 0.964 1
Hf3 Hf 0.870 0.130 0.036 1
Hf4 Hf 0.870 0.130 0.464 1
U1 U 0.381 0.619 0.750 1
U2 U 0.619 0.381 0.250 1
Mo1 Mo 0.354 0.646 0.250 1
Mo2 Mo 0.646 0.354 0.750 1
C1 C 0.037 0.963 0.750 1
C2 C 0.239 0.761 0.121 1
C3 C 0.239 0.761 0.379 1
C4 C 0.500 0.500 0.000 1
C5 C 0.500 0.500 0.500 1
C6 C 0.761 0.239 0.621 1
C7 C 0.761 0.239 0.879 1
C8 C 0.963 0.037 0.250 1
```

Results
The magnetic moment comes out at 0.167 μB per atom. The total energy is -162.42 eV per cell. The formation energy comes out at -2.3 eV/f.u. As for the theoretical density: 11.2 g/cm3. The calculation puts the density of states at the Fermi level at 5.922 states/eV/f.u.

No. 4
# ErGaCu5

A geometry-optimized ErGaCu5 structure (PBE, Alexandria via LeMat-Bulk).

```
data_ErGaCu5
_chemical_formula_sum 'Er4 Ga4 Cu20'
_space_group_name_H-M_alt 'P 1'
_space_group_IT_number 1
_space_group_name_Hall 'P 1'
_cell_length_a 8.055
_cell_length_b 5.012
_cell_length_c 10.136
_cell_angle_alpha 90.00
_cell_angle_beta 90.00
_cell_angle_gamma 90.00
loop_
_atom_site_label
_atom_site_type_symbol
_atom_site_fract_x
_atom_site_fract_y
_atom_site_fract_z
_atom_site_occupancy
Er1 Er 0.243 0.250 0.061 1
Er2 Er 0.257 0.750 0.561 1
Er3 Er 0.743 0.250 0.439 1
Er4 Er 0.757 0.750 0.939 1
Ga1 Ga 0.145 0.750 0.855 1
Ga2 Ga 0.355 0.250 0.355 1
Ga3 Ga 0.645 0.750 0.645 1
Ga4 Ga 0.855 0.250 0.145 1
Cu1 Cu 0.065 0.750 0.089 1
Cu2 Cu 0.066 0.005 0.306 1
Cu3 Cu 0.066 0.495 0.306 1
Cu4 Cu 0.092 0.250 0.516 1
Cu5 Cu 0.183 0.250 0.754 1
Cu6 Cu 0.317 0.750 0.254 1
Cu7 Cu 0.408 0.750 0.016 1
Cu8 Cu 0.434 0.505 0.806 1
Cu9 Cu 0.434 0.995 0.806 1
Cu10 Cu 0.435 0.250 0.589 1
Cu11 Cu 0.565 0.750 0.411 1
Cu12 Cu 0.566 0.005 0.194 1
Cu13 Cu 0.566 0.495 0.194 1
Cu14 Cu 0.592 0.250 0.984 1
Cu15 Cu 0.683 0.250 0.746 1
Cu16 Cu 0.817 0.750 0.246 1
Cu17 Cu 0.908 0.750 0.484 1
Cu18 Cu 0.934 0.505 0.694 1
Cu19 Cu 0.934 0.995 0.694 1
Cu20 Cu 0.935 0.250 0.911 1
```

Results
The magnetic moment comes out at 0.000 μB per atom. The total energy is -119.31 eV per cell. The formation energy comes out at -1.8 eV/f.u. As for the theoretical density: 9.0 g/cm3. The calculation puts the density of states at the Fermi level at 3.559 states/eV/f.u.

No. 5
# LiSmTmSn

A geometry-optimized LiSmTmSn structure (PBE, Alexandria via LeMat-Bulk).

```
data_LiSmTmSn
_chemical_formula_sum 'Li1 Sm1 Tm1 Sn1'
_space_group_name_H-M_alt 'P 1'
_space_group_IT_number 1
_space_group_name_Hall 'P 1'
_cell_length_a 5.233
_cell_length_b 5.233
_cell_length_c 5.233
_cell_angle_alpha 60.00
_cell_angle_beta 60.00
_cell_angle_gamma 60.00
loop_
_atom_site_label
_atom_site_type_symbol
_atom_site_fract_x
_atom_site_fract_y
_atom_site_fract_z
_atom_site_occupancy
Li1 Li 0.000 0.000 0.000 1
Sm1 Sm 0.250 0.250 0.250 1
Tm1 Tm 0.750 0.750 0.750 1
Sn1 Sn 0.500 0.500 0.500 1
```

Results
The magnetic moment comes out at 0.000 μB per atom. The total energy is -16.72 eV per cell. The formation energy comes out at -1.6 eV/f.u. As for the theoretical density: 7.3 g/cm3. The calculation puts the density of states at the Fermi level at 2.804 states/eV/f.u.

No. 6
# TlSn3P

A geometry-optimized TlSn3P structure (PBE, Alexandria via LeMat-Bulk).

```
data_TlSn3P
_chemical_formula_sum 'Tl1 Sn3 P1'
_space_group_name_H-M_alt 'P 1'
_space_group_IT_number 1
_space_group_name_Hall 'P 1'
_cell_length_a 5.629
_cell_length_b 5.629
_cell_length_c 5.629
_cell_angle_alpha 90.00
_cell_angle_beta 90.00
_cell_angle_gamma 90.00
loop_
_atom_site_label
_atom_site_type_symbol
_atom_site_fract_x
_atom_site_fract_y
_atom_site_fract_z
_atom_site_occupancy
Tl1 Tl 0.000 0.000 0.000 1
Sn1 Sn 0.000 0.000 0.500 1
Sn2 Sn 0.000 0.500 0.000 1
Sn3 Sn 0.500 0.000 0.000 1
P1 P 0.500 0.500 0.500 1
```

Results
The magnetic moment comes out at 0.000 μB per atom. The total energy is -14.47 eV per cell. The formation energy comes out at 5.3 eV/f.u. As for the theoretical density: 5.5 g/cm3. The energy above the most stable polymorph in this dataset is 722.1 meV per atom. The calculation puts the density of states at the Fermi level at 3.362 states/eV/f.u.

Which of these has the lowest theoretical density?
KZn2Si

Which of these has the highest magnetic moment?
InFeOs2